A plane-wave DFT calculation with PBE-GGA was carried out for a relaxed structure of HgIr2Ru.

```
HgIr2Ru
1.0
3.9827 0.0000 0.0000
0.0000 3.9828 0.0000
0.0000 0.0000 3.9828
Hg Ir Ru
1 2 1
Direct
0.5000 0.0000 0.5000 Hg
0.0000 0.0000 0.0000 Ir
0.0000 0.5000 0.5000 Ir
0.5000 0.5000 0.0000 Ru
```

Computed properties:
Density of states at the Fermi level: 6.73 states/eV/cell
SG: P4/mmm, No. 123
Energy relative to the elements: 591 meV/atom
Total energy: -6.234 eV per atom
Crystal system: tetragonal
Magnetization: 0.00 μB per cell

***

A plane-wave DFT calculation with PBE-GGA was carried out for a relaxed structure of SmGa2CoIr.

```
SmGa2CoIr
1.0
4.1758 0.0000 0.0000
0.0000 4.1758 0.0000
-2.0879 -2.0879 5.0676
Co Ir Sm Ga
1 1 1 2
Direct
0.7500 0.2500 0.5000 Co
0.2500 0.7500 0.5000 Ir
0.0000 0.0000 0.0000 Sm
0.6268 0.6268 0.2536 Ga
0.3732 0.3732 0.7464 Ga
```

Computed properties:
Density of states at the Fermi level: 2.40 states/eV/cell
SG: I-4m2, No. 119
Energy relative to the elements: -548 meV/atom
Total energy: -5.896 eV per atom
Crystal system: tetragonal
Magnetization: 0.00 μB per cell